Computed, not measured: crystalline Tc3HgI at its relaxed geometry at the GGA-PBE level of DFT.

Cell: 4.8382 4.8382 4.8382 Å, 90.00 90.00 90.00°
With the nearest neighbours (Å) after each atom.
Positions (direct):
I  0.0000  0.0000  0.0000  6 Tc 2.42
Hg  0.5000  0.5000  0.5000  12 Tc 3.42
Tc  0.0000  0.5000  0.0000  2 I 2.42
Tc  0.0000  0.0000  0.5000  2 I 2.42
Tc  0.5000  0.0000  0.0000  2 I 2.42

## Properties
space-group type = Pm-3m, No. 221
crystal system = cubic
energy above the most stable polymorph in this dataset = 0 meV/atom
DFT total energy = -4.67 eV per atom
raw formation energy = 1.92 eV/atom
calculated volume = 113.3 Å³/cell

Computed, not measured: crystalline TlW2Au at its relaxed geometry at the GGA-PBE level of DFT.

Cell: 9.7566 9.7566 9.7566 Å, 17.38 17.38 17.38°
With the nearest neighbours (Å) after each atom.
Positions (direct):
Au  0.7500  0.7500  0.7500  6 W 2.86, 6 Au 2.95
Tl  0.2500  0.2500  0.2500  6 Tl 2.95, 6 W 3.03
W  0.0035  0.0035  0.0035  3 Au 2.86, 6 W 2.95, 3 Tl 3.03
W  0.4965  0.4965  0.4965  3 Au 2.86, 6 W 2.95, 3 Tl 3.03

## Properties
space-group type = R-3m, No. 166
crystal system = trigonal
energy above the most stable polymorph in this dataset = 322 meV/atom
DFT total energy = -7.06 eV per atom
calculated volume = 72.3 Å³/cell

Computed, not measured: crystalline Cd3As2I2 at its relaxed geometry at the GGA-PBE level of DFT.

Cell: 4.3081 6.5848 10.7395 Å, 73.38 101.50 90.03°
With the nearest neighbours (Å) after each atom.
Positions (direct):
Cd  0.0000  0.0000  0.0000  4 As 2.66
Cd  0.6023  0.3949  0.2063  2 As 2.69-2.71, 2 I 2.84
Cd  0.3977  0.6051  0.7937  2 As 2.69-2.71, 2 I 2.84
As  0.4982  0.2398  0.9960  4 Cd 2.66-2.71
As  0.5018  0.7602  0.0040  4 Cd 2.66-2.71
I  0.8066  0.6958  0.6104  2 Cd 2.84
I  0.1934  0.3042  0.3896  2 Cd 2.84

## Properties
space-group type = P-1, No. 2
crystal system = triclinic
DFT total energy = -2.36 eV per atom
raw formation energy = -0.20 eV/atom
calculated volume = 285.5 Å³/cell

Computed, not measured: crystalline TiMoRh5 at its relaxed geometry at the GGA-PBE level of DFT.

Cell: 3.9742 3.9742 6.8405 Å, 90.00 90.00 90.00°
With the nearest neighbours (Å) after each atom.
Positions (direct):
Ti  0.5000  0.5000  0.0000  8 Rh 2.53
Mo  0.0000  0.0000  0.5000  12 Rh 2.72-2.81
Rh  0.0000  0.5000  0.7707  2 Ti 2.53, 6 Rh 2.72-2.81, 2 Mo 2.72
Rh  0.0000  0.5000  0.2293  2 Ti 2.53, 6 Rh 2.72-2.81, 2 Mo 2.72
Rh  0.5000  0.0000  0.7707  2 Ti 2.53, 2 Mo 2.72, 6 Rh 2.72-2.81
Rh  0.5000  0.0000  0.2293  2 Ti 2.53, 2 Mo 2.72, 6 Rh 2.72-2.81
Rh  0.5000  0.5000  0.5000  8 Rh 2.72, 4 Mo 2.81

## Properties
space-group type = P4/mmm, No. 123
crystal system = tetragonal
DFT total energy = -8.11 eV per atom
calculated volume = 108.0 Å³/cell

Computed, not measured: crystalline Y2VHgS at its relaxed geometry at the GGA-PBE level of DFT.

Cell: 5.6129 4.9338 5.6129 Å, 90.00 90.00 90.00°
With the nearest neighbours (Å) after each atom.
Positions (direct):
Y  0.0000  0.0000  0.5000  2 Hg 2.81
Y  0.5000  0.0000  0.0000  2 Hg 2.81
S  0.5000  0.5000  0.5000  8 Y 3.74, 4 V 3.97
Hg  0.0000  0.0000  0.0000  2 V 2.47
V  0.0000  0.5000  0.0000  2 Hg 2.47

## Properties
space-group type = P4/mmm, No. 123
crystal system = tetragonal
DFT total energy = -4.82 eV per atom
raw formation energy = 0.47 eV/atom
calculated volume = 155.4 Å³/cell

Computed, not measured: crystalline BaSr2Si at its relaxed geometry at the GGA-PBE level of DFT.

Cell: 6.2964 7.2301 4.0660 Å, 74.62 87.90 115.16°
With the nearest neighbours (Å) after each atom.
Positions (direct):
Ba  0.0000  0.5000  0.5000  4 Sr 3.65, 4 Si 3.68-3.81, 2 Ba 4.07
Si  0.5000  0.5000  0.0000  4 Sr 3.65, 4 Ba 3.68-3.81, 2 Si 4.07
Sr  0.0000  0.0000  0.0000  2 Si 3.65, 2 Ba 3.65, 6 Sr 3.68-4.07
Sr  0.5000  0.0000  0.5000  2 Ba 3.65, 2 Si 3.65, 6 Sr 3.68-4.07

## Properties
space-group type = C2/m, No. 12
crystal system = monoclinic
DFT total energy = -2.43 eV per atom
raw formation energy = 0.24 eV/atom
calculated volume = 159.2 Å³/cell

Computed, not measured: crystalline Sc3TcO at its relaxed geometry at the GGA-PBE level of DFT.

Cell: 7.1982 7.1982 7.1982 Å, 51.05 51.05 51.05°
With the nearest neighbours (Å) after each atom.
Positions (direct):
Sc  0.9300  0.5700  0.2500  1 O 1.98
Sc  0.5700  0.2500  0.9300  1 O 1.98
Sc  0.2500  0.9300  0.5700  1 O 1.98
Sc  0.7500  0.0700  0.4300  1 O 1.98
Sc  0.4300  0.7500  0.0700  1 O 1.98
Sc  0.0700  0.4300  0.7500  1 O 1.98
Tc  0.0000  0.0000  0.0000  6 Sc 2.62
Tc  0.5000  0.5000  0.5000  6 Sc 2.62
O  0.2500  0.2500  0.2500  3 Sc 1.98
O  0.7500  0.7500  0.7500  3 Sc 1.98

## Properties
space-group type = R-3c, No. 167
crystal system = trigonal
energy above the most stable polymorph in this dataset = 384 meV/atom
DFT total energy = -7.80 eV per atom
raw formation energy = -0.94 eV/atom
calculated volume = 208.1 Å³/cell

Computed, not measured: crystalline Cu3GeI at its relaxed geometry at the GGA-PBE level of DFT.

Cell: 4.6894 4.6894 4.6894 Å, 90.00 90.00 90.00°
With the nearest neighbours (Å) after each atom.
Positions (direct):
I  0.5000  0.5000  0.5000  12 Cu 3.32
Ge  0.0000  0.0000  0.0000  6 Cu 2.34
Cu  0.0000  0.5000  0.0000  2 Ge 2.34
Cu  0.0000  0.0000  0.5000  2 Ge 2.34
Cu  0.5000  0.0000  0.0000  2 Ge 2.34

## Properties
space-group type = Pm-3m, No. 221
crystal system = cubic
energy above the most stable polymorph in this dataset = 0 meV/atom
DFT total energy = -3.10 eV per atom
raw formation energy = 0.59 eV/atom
calculated volume = 103.1 Å³/cell